Here is a relaxed structure of Sr2La4As from Alexandria via LeMat-Bulk. Energies are from GGA-PBE.

abc: 5.782 5.782 10.450
angles: 73.94 73.94 90.00
Fractional coordinates of all 7 atoms:
Sr (0.651, 0.651, 0.699)
Sr (0.349, 0.349, 0.301)
La (0.500, 0.000, 0.000)
La (0.852, 0.852, 0.297)
La (0.148, 0.148, 0.703)
La (0.000, 0.500, 0.000)
As (0.000, 0.000, 0.000)

Output
total DFT energy (no corrections): -28.3 eV/cell
E_form: -0.09 eV/atom
crystal system: tetragonal
space group: I4/mmm

=====

Here is a relaxed structure of BaSn2Mo from Alexandria via LeMat-Bulk. Energies are from GGA-PBE.

abc: 5.321 5.321 5.321
angles: 60.00 60.00 60.00
Last column: magnetic moment on the atom in μB.
Fractional coordinates of all 4 atoms:
Sn (0.250, 0.250, 0.250)  -0.08
Sn (0.750, 0.750, 0.750)  -0.08
Mo (0.000, 0.000, 0.000)  1.87
Ba (0.500, 0.500, 0.500)  0.00

Output
total DFT energy (no corrections): -19.3 eV/cell
offset from the most stable computed form: 0.47 eV/f.u.
E_form: 0.37 eV/atom
crystal system: cubic
space group: Fm-3m

=====

Here is a relaxed structure of U2Ga8Au from Alexandria via LeMat-Bulk. Energies are from GGA-PBE.

abc: 4.346 4.346 11.297
angles: 90.00 90.00 90.00
Last column: magnetic moment on the atom in μB.
Fractional coordinates of all 11 atoms:
Ga (0.500, 0.000, 0.137)  0.00
Ga (0.500, 0.500, 0.315)  0.01
Ga (0.500, 0.000, 0.863)  0.00
Ga (0.000, 0.500, 0.863)  0.00
Ga (0.500, 0.500, 0.685)  0.01
Ga (0.500, 0.000, 0.500)  0.02
Ga (0.000, 0.500, 0.500)  0.02
Ga (0.000, 0.500, 0.137)  0.00
U (0.000, 0.000, 0.315)  1.98
U (0.000, 0.000, 0.685)  1.98
Au (0.000, 0.000, 0.000)  -0.01

Output
total DFT energy (no corrections): -52.6 eV/cell
E_form: -0.23 eV/atom
crystal system: tetragonal
space group: P4/mmm

=====

Here is a relaxed structure of MgC3 from Alexandria via LeMat-Bulk. Energies are from GGA-PBE.

abc: 8.478 5.521 4.690
angles: 90.00 90.00 90.00
Fractional coordinates of all 16 atoms:
Mg (0.833, 0.006, 0.750)
Mg (0.167, 0.994, 0.250)
Mg (0.667, 0.506, 0.750)
Mg (0.333, 0.494, 0.250)
C (0.937, 0.812, 0.250)
C (0.689, 0.201, 0.400)
C (0.437, 0.688, 0.750)
C (0.063, 0.188, 0.750)
C (0.811, 0.701, 0.100)
C (0.811, 0.701, 0.400)
C (0.689, 0.201, 0.100)
C (0.189, 0.299, 0.600)
C (0.311, 0.799, 0.600)
C (0.189, 0.299, 0.900)
C (0.311, 0.799, 0.900)
C (0.563, 0.312, 0.250)

Output
total DFT energy (no corrections): -101.6 eV/cell
offset from the most stable computed form: 1.22 eV/f.u.
E_form: 0.97 eV/atom
crystal system: orthorhombic
space group: Pnma

=====

Here is a relaxed structure of LaHgAs2O8 from Alexandria via LeMat-Bulk. Energies are from GGA-PBE.

abc: 6.222 6.222 6.222
angles: 106.25 106.25 116.14
Last column: magnetic moment on the atom in μB.
Fractional coordinates of all 12 atoms:
O (0.330, 0.506, 0.176)  0.12
O (0.916, 0.238, 0.322)  0.12
O (0.916, 0.594, 0.678)  0.12
O (0.406, 0.084, 0.322)  0.12
O (0.330, 0.154, 0.824)  0.12
O (0.762, 0.084, 0.678)  0.12
O (0.846, 0.670, 0.176)  0.12
O (0.494, 0.670, 0.824)  0.12
As (0.500, 0.500, 0.000)  -0.01
As (0.750, 0.250, 0.500)  -0.01
Hg (0.250, 0.750, 0.500)  0.02
La (0.000, 0.000, 0.000)  0.00

Output
total DFT energy (no corrections): -71.5 eV/cell
formation energy from raw total energies: -140 kJ/mol of atoms
crystal system: tetragonal
space group: I-4m2

=====

Here is a relaxed structure of Ce2Ga4Ni3Pd from Alexandria via LeMat-Bulk. Energies are from GGA-PBE.

abc: 4.082 4.082 10.419
angles: 90.00 90.00 90.00
Last column: magnetic moment on the atom in μB.
Fractional coordinates of all 10 atoms:
Ga (0.000, 0.500, 0.363)  0.01
Ga (0.000, 0.000, 0.000)  0.00
Ga (0.500, 0.000, 0.637)  0.01
Ga (0.500, 0.500, 0.000)  0.00
Ni (0.500, 0.000, 0.866)  -0.02
Ni (0.000, 0.500, 0.134)  -0.02
Ni (0.000, 0.000, 0.500)  0.03
Pd (0.500, 0.500, 0.500)  0.01
Ce (0.500, 0.000, 0.238)  0.39
Ce (0.000, 0.500, 0.762)  0.39

Output
total DFT energy (no corrections): -52.5 eV/cell
E_form: -0.60 eV/atom
crystal system: tetragonal
space group: P-4m2

=====

Here is a relaxed structure of Er3BeGe2 from Alexandria via LeMat-Bulk. Energies are from GGA-PBE.

abc: 4.036 11.392 11.189
angles: 90.00 90.00 90.00
Fractional coordinates of all 24 atoms:
Er (0.250, 0.122, 0.563)
Er (0.250, 0.703, 0.206)
Er (0.250, 0.378, 0.063)
Er (0.750, 0.941, 0.123)
Er (0.750, 0.622, 0.937)
Er (0.250, 0.441, 0.377)
Er (0.750, 0.203, 0.294)
Er (0.750, 0.559, 0.623)
Er (0.750, 0.297, 0.794)
Er (0.750, 0.878, 0.437)
Er (0.250, 0.797, 0.706)
Er (0.250, 0.059, 0.877)
Ge (0.250, 0.488, 0.808)
Ge (0.750, 0.182, 0.029)
Ge (0.750, 0.512, 0.192)
Ge (0.750, 0.988, 0.692)
Ge (0.250, 0.682, 0.471)
Ge (0.250, 0.818, 0.971)
Ge (0.250, 0.012, 0.308)
Ge (0.750, 0.318, 0.529)
Be (0.750, 0.637, 0.365)
Be (0.250, 0.363, 0.635)
Be (0.250, 0.137, 0.135)
Be (0.750, 0.863, 0.865)

Output
total DFT energy (no corrections): -122.9 eV/cell
E_form: -0.68 eV/atom
crystal system: orthorhombic
space group: Pnma

=====

Here is a relaxed structure of LiLuNbOs from Alexandria via LeMat-Bulk. Energies are from GGA-PBE.

abc: 4.624 4.624 4.624
angles: 60.00 60.00 60.00
Fractional coordinates of all 4 atoms:
Li (0.500, 0.500, 0.500)
Lu (0.250, 0.250, 0.250)
Os (0.000, 0.000, 0.000)
Nb (0.750, 0.750, 0.750)

Output
total DFT energy (no corrections): -28.3 eV/cell
E_form: -0.14 eV/atom
crystal system: cubic
space group: F-43m